A) Entry from Alexandria via LeMat-Bulk: a geometry-optimized BaCo3O structure (PBE with a Hubbard U).

* SG: Pm-3m

POSCAR file:
```
BaCo3O
1.0
4.321 0.000 0.000
0.000 4.321 0.000
0.000 0.000 4.321
O Co Ba
1 3 1
Direct
0.000 0.000 0.000 O
0.000 0.500 0.000 Co
0.000 0.000 0.500 Co
0.500 0.000 0.000 Co
0.500 0.500 0.500 Ba
```

B) Entry from Alexandria via LeMat-Bulk: a geometry-optimized BaCo3O structure (PBE with a Hubbard U).

* SG: Pm-3m

POSCAR file:
```
BaCo3O
1.0
-4.625 3.009 -1.442
-2.592 -4.792 -1.687
-2.102 -0.713 5.253
O Co Ba
1 3 1
Direct
0.500 0.500 0.500 O
0.000 0.000 0.500 Co
0.000 0.500 0.000 Co
0.500 0.000 0.000 Co
0.000 0.000 0.000 Ba
```

Stability summary - winner: A); margin: 1667 meV/atom.